No. 1
Computed, not measured: a geometry-optimized AlAg2Sb structure at the PBE level of DFT.

Space-group type ... I-42d, No. 122
Formation energy without anion corrections ... 0.11 eV/atom

Cell and atoms, written as POSCAR:
```
AlAg2Sb
1.0
-2.163 -2.938 2.253
3.681 -1.987 0.943
1.624 2.785 9.274
Al Ag Sb
2 4 2
Cartesian
0.759 -2.463 1.598 Al
3.032 -0.832 5.907 Al
1.884 0.190 8.178 Ag
2.380 -0.990 3.249 Ag
2.450 -2.169 9.727 Ag
-0.429 -1.312 3.785 Ag
0.110 -1.308 6.562 Sb
0.000 0.000 0.000 Sb
```

---

No. 2
Computed, not measured: a geometry-optimized AlAgSb structure at the PBE level of DFT.

Space-group type ... P3m1, No. 156
Formation energy without anion corrections ... 0.16 eV/atom

Cell and atoms, written as POSCAR:
```
AlAgSb
1.0
-2.224 -1.397 -3.229
3.990 -1.112 0.416
-1.250 -3.583 2.411
Al Ag Sb
1 1 1
Cartesian
-0.549 -2.438 -1.250 Al
-0.035 -0.101 0.068 Ag
1.100 -3.553 0.779 Sb
```

---

No. 3
Computed, not measured: a geometry-optimized AlAgSb2 structure at the PBE level of DFT.

Space-group type ... P4mm, No. 99
Formation energy without anion corrections ... 0.13 eV/atom

Cell and atoms, written as POSCAR:
```
AlAgSb2
1.0
-2.974 -1.415 -1.535
0.023 -2.693 2.439
-4.321 4.114 4.583
Al Sb Ag
1 2 1
Cartesian
-4.579 0.900 3.743 Al
-3.947 3.758 4.186 Sb
-2.926 -0.674 1.990 Sb
-2.302 2.192 2.442 Ag
```

---

No. 4
Computed, not measured: a geometry-optimized AlAgSb2 structure at the PBE level of DFT.

Space-group type ... R-3m, No. 166
Formation energy without anion corrections ... 0.23 eV/atom

Cell and atoms, written as POSCAR:
```
AlAgSb2
1.0
9.754 -0.091 -0.054
9.211 3.209 -0.054
9.211 1.514 2.830
Sb Al Ag
2 1 1
Cartesian
14.082 2.315 1.361 Sb
0.006 0.001 0.001 Sb
21.132 3.474 2.042 Al
7.044 1.158 0.681 Ag
```

---

No. 5
Computed, not measured: a geometry-optimized AlAg2Sb structure at the PBE level of DFT.

Space-group type ... P2/m, No. 10
Formation energy without anion corrections ... 0.10 eV/atom

Cell and atoms, written as POSCAR:
```
AlAg2Sb
1.0
4.443 0.000 0.000
0.000 3.021 -0.062
0.000 -1.898 6.327
Sb Ag Al
1 2 1
Cartesian
2.222 0.842 4.698 Sb
0.000 2.430 0.267 Ag
0.000 1.153 2.803 Ag
2.222 0.281 1.566 Al
```

---

No. 6
Computed, not measured: a geometry-optimized AlAg2SbSe4 structure at the PBE level of DFT.

Space-group type ... P1, No. 1
Formation energy without anion corrections ... -0.34 eV/atom

Cell and atoms, written as POSCAR:
```
AlAg2SbSe4
1.0
-0.876 -5.269 -1.706
3.817 -2.191 4.773
-6.985 3.869 1.353
Ag Se Sb Al
2 4 1 1
Cartesian
-7.103 1.060 0.511 Ag
-3.186 0.191 1.072 Ag
-3.536 -1.795 2.732 Se
1.697 -3.082 3.710 Se
-0.728 -4.885 0.745 Se
-4.792 2.195 1.397 Se
-0.909 -3.298 2.869 Sb
-5.709 -2.450 2.104 Al
```

---

No. 7
Computed, not measured: a geometry-optimized TaAlAgSb2 structure at the PBE level of DFT.

Space-group type ... P4/mmm, No. 123
Formation energy without anion corrections ... 1.16 eV/atom

Cell and atoms, written as POSCAR:
```
TaAlAgSb2
1.0
5.225 0.000 0.000
0.000 4.654 0.000
0.000 0.000 5.225
Sb Ta Ag Al
2 1 1 1
Cartesian
2.613 0.000 0.000 Sb
0.000 0.000 2.613 Sb
2.613 2.327 2.613 Ta
0.000 2.327 0.000 Ag
0.000 0.000 0.000 Al
```

---

No. 8
Computed, not measured: a geometry-optimized AlAgSbTe2 structure at the PBE level of DFT.

Space-group type ... P4/mmm, No. 123
Formation energy without anion corrections ... 0.63 eV/atom

Cell and atoms, written as POSCAR:
```
AlAgSbTe2
1.0
-2.930 -1.741 4.426
-3.618 -2.558 -3.401
2.897 -4.365 0.200
Te Ag Sb Al
2 1 1 1
Cartesian
-1.465 -0.871 2.213 Te
-1.809 -1.279 -1.701 Te
0.000 0.000 0.000 Ag
1.448 -2.182 0.100 Sb
-1.826 -4.332 0.612 Al
```

---

No. 9
Computed, not measured: a geometry-optimized AlAgSbTe2 structure at the PBE level of DFT.

Space-group type ... P4/mmm, No. 123
Formation energy without anion corrections ... 0.49 eV/atom

Cell and atoms, written as POSCAR:
```
AlAgSbTe2
1.0
-1.669 5.148 -0.102
-2.221 -0.816 -4.868
-4.457 -1.400 2.268
Sb Ag Te Al
1 1 2 1
Cartesian
-2.229 -0.700 1.134 Sb
-4.173 1.466 -1.351 Ag
-0.834 2.574 -0.051 Te
-1.110 -0.408 -2.434 Te
0.000 0.000 0.000 Al
```

---

No. 10
Computed, not measured: a geometry-optimized ZrAl2AgSb structure at the PBE level of DFT.

Space-group type ... P4/mmm, No. 123
Formation energy without anion corrections ... 1.00 eV/atom

Cell and atoms, written as POSCAR:
```
ZrAl2AgSb
1.0
5.162 0.000 0.000
0.000 5.054 0.000
0.000 0.000 5.162
Sb Zr Al Ag
1 1 2 1
Cartesian
0.000 0.000 0.000 Sb
2.581 2.527 2.581 Zr
0.000 0.000 2.581 Al
2.581 0.000 0.000 Al
0.000 2.527 0.000 Ag
```

---

No. 11
Computed, not measured: a geometry-optimized Sc5AlAg structure at the PBE level of DFT.

Space-group type ... C2/c, No. 15
Formation energy ... -0.03 eV per atom

Cell and atoms, written as POSCAR:
```
Sc5AlAg
1.0
-0.348 5.200 -2.460
-5.168 -1.376 -2.147
-3.835 3.207 8.321
Sc Ag Al
10 2 2
Cartesian
-2.936 5.287 4.045 Sc
-4.997 4.829 1.215 Sc
-5.531 7.171 3.648 Sc
-7.355 1.971 4.049 Sc
-1.997 5.061 -0.335 Sc
-4.355 2.202 2.499 Sc
-6.416 1.744 -0.331 Sc
-4.135 1.785 -2.877 Sc
-5.217 5.246 6.591 Sc
-3.821 -0.139 0.067 Sc
-1.918 1.604 4.161 Ag
0.000 0.000 0.000 Ag
-5.679 4.258 3.940 Al
-3.673 2.774 -0.226 Al
```

---

No. 12
Computed, not measured: a geometry-optimized ScAlAg4 structure at the PBE level of DFT.

Space-group type ... F-43m, No. 216
Formation energy ... -0.04 eV per atom

Cell and atoms, written as POSCAR:
```
ScAlAg4
1.0
4.373 -1.462 2.918
-0.037 0.543 5.429
-0.200 -4.427 3.183
Al Ag Sc
1 4 1
Cartesian
3.102 -4.010 8.648 Al
1.551 -2.005 4.324 Ag
1.532 -1.733 7.038 Ag
3.737 -2.736 5.783 Ag
1.451 -4.218 5.915 Ag
0.000 0.000 0.000 Sc
```

---

No. 13
Computed, not measured: a geometry-optimized ScAl6Ag structure at the PBE level of DFT.

Space-group type ... Cmmm, No. 65
Formation energy ... -0.13 eV per atom

Cell and atoms, written as POSCAR:
```
ScAl6Ag
1.0
-3.204 1.414 2.752
2.854 -2.317 4.513
3.693 3.856 2.318
Al Sc Ag
6 1 1
Cartesian
1.381 0.325 1.441 Al
3.097 -0.527 3.877 Al
3.450 2.066 2.954 Al
0.245 2.635 2.535 Al
-0.175 -0.451 3.632 Al
5.166 1.215 5.390 Al
-1.602 0.707 1.376 Sc
1.672 1.477 4.791 Ag
```

---

No. 14
Computed, not measured: a geometry-optimized ScAl2Ag2 structure at the PBE level of DFT.

Space-group type ... P4/mbm, No. 127
Formation energy ... -0.13 eV per atom

Cell and atoms, written as POSCAR:
```
ScAl2Ag2
1.0
7.907 0.000 0.000
0.000 7.907 0.000
0.000 0.000 2.899
Al Sc Ag
4 2 4
Cartesian
1.340 5.294 1.450 Al
5.294 6.567 1.450 Al
2.613 1.340 1.450 Al
6.567 2.613 1.450 Al
3.954 3.954 0.000 Sc
0.000 0.000 0.000 Sc
6.886 4.975 0.000 Ag
2.932 6.886 0.000 Ag
4.975 1.021 0.000 Ag
1.021 2.932 0.000 Ag
```

---

No. 15
Computed, not measured: a geometry-optimized ScAlAg2 structure at the PBE level of DFT.

Space-group type ... R-3m, No. 166
Formation energy ... -0.01 eV per atom

Cell and atoms, written as POSCAR:
```
ScAlAg2
1.0
-6.590 0.330 6.438
-6.893 -2.633 5.526
-4.763 -1.874 7.668
Ag Al Sc
2 1 1
Cartesian
-18.151 -4.155 19.530 Ag
-9.218 -2.110 9.918 Ag
-4.561 -1.044 4.908 Al
-13.684 -3.133 14.724 Sc
```

---

No. 16
Computed, not measured: a geometry-optimized ScAlAg2 structure at the PBE level of DFT.

Space-group type ... I-42d, No. 122
Formation energy ... 0.05 eV per atom

Cell and atoms, written as POSCAR:
```
ScAlAg2
1.0
4.105 0.000 0.000
0.000 4.105 0.000
2.052 2.052 9.618
Ag Al Sc
4 2 2
Cartesian
1.100 3.079 2.405 Ag
5.131 5.057 7.214 Ag
3.005 1.026 2.405 Ag
3.079 3.152 7.214 Ag
2.052 2.052 0.000 Al
2.052 4.105 4.809 Al
0.000 0.000 0.000 Sc
4.105 2.052 4.809 Sc
```

---

No. 17
Computed, not measured: a geometry-optimized ScAl4Ag structure at the PBE level of DFT.

Space-group type ... F-43m, No. 216
Formation energy ... -0.10 eV per atom

Cell and atoms, written as POSCAR:
```
ScAl4Ag
1.0
-1.066 -4.866 1.994
-1.545 -0.525 5.111
-5.056 -1.381 1.146
Ag Al Sc
1 4 1
Cartesian
0.000 0.000 0.000 Ag
-2.881 -2.544 3.100 Al
-5.394 -3.231 3.670 Al
-3.649 -2.805 5.641 Al
-3.411 -4.963 4.091 Al
-5.750 -5.079 6.188 Sc
```

---

No. 18
Computed, not measured: a geometry-optimized ScAlAg structure at the PBE level of DFT.

Space-group type ... Imma, No. 74
Formation energy ... -0.35 eV per atom

Cell and atoms, written as POSCAR:
```
ScAlAg
1.0
-4.773 -2.411 -0.716
3.659 -0.096 -3.963
3.513 -2.172 3.470
Ag Al Sc
2 2 2
Cartesian
1.829 -0.048 -1.982 Ag
1.199 -2.339 -0.604 Ag
3.586 -1.134 -0.246 Al
-0.630 -2.292 1.377 Al
2.299 -2.503 2.365 Sc
0.100 -2.175 -3.574 Sc
```

---

No. 19
Computed, not measured: a geometry-optimized ScAlAg2 structure at the PBE level of DFT.

Space-group type ... Pm, No. 6
Formation energy ... -0.19 eV per atom

Cell and atoms, written as POSCAR:
```
ScAlAg2
1.0
-1.342 3.017 3.036
-2.282 -1.942 0.920
2.193 -3.114 4.063
Sc Al Ag
1 1 2
Cartesian
-0.699 -2.105 5.096 Sc
0.394 -2.172 2.333 Al
-0.058 -0.171 0.144 Ag
-1.113 -0.118 2.939 Ag
```

---

No. 20
Computed, not measured: a geometry-optimized ScAl3Ag structure at the PBE level of DFT.

Space-group type ... Pm-3m, No. 221
Formation energy ... 1.04 eV per atom

Cell and atoms, written as POSCAR:
```
ScAl3Ag
1.0
-1.139 -4.951 -1.147
-0.454 -1.072 5.077
-5.062 1.210 -0.197
Al Sc Ag
3 1 1
Cartesian
-0.227 -0.536 2.538 Al
-2.531 0.605 -0.098 Al
-0.570 -2.476 -0.574 Al
0.000 0.000 0.000 Sc
-3.328 -2.407 1.866 Ag
```

---

No. 21
Computed, not measured: a geometry-optimized ScAlAg structure at the PBE level of DFT.

Space-group type ... P3m1, No. 156
Formation energy ... -0.07 eV per atom

Cell and atoms, written as POSCAR:
```
ScAlAg
1.0
-0.050 -0.559 -3.068
-0.561 -2.312 2.016
-6.777 1.501 -0.164
Al Ag Sc
1 1 1
Cartesian
-2.411 -0.658 -1.426 Al
-0.087 0.019 -0.002 Ag
-4.890 -0.731 0.212 Sc
```

---

No. 22
Computed, not measured: a geometry-optimized Sc2Al9Ag structure at the PBE level of DFT.

Space-group type ... P4/mmm, No. 123
Formation energy ... -0.26 eV per atom

Cell and atoms, written as POSCAR:
```
Sc2Al9Ag
1.0
-1.278 3.640 -1.354
-1.516 0.845 3.701
10.805 5.013 3.282
Al Sc Ag
9 2 1
Cartesian
5.812 5.587 3.363 Al
2.199 3.911 2.266 Al
8.396 6.012 2.067 Al
8.276 4.614 4.595 Al
4.764 4.327 0.964 Al
4.645 2.929 3.492 Al
-1.397 2.242 1.174 Al
1.013 1.244 2.389 Al
1.132 2.641 -0.139 Al
3.610 1.675 1.097 Sc
7.195 3.338 2.185 Sc
0.000 0.000 0.000 Ag
```

---

No. 23
Computed, not measured: a geometry-optimized Sc3Al2Ag4 structure at the PBE level of DFT.

Space-group type ... C2/m, No. 12
Formation energy ... -0.30 eV per atom

Cell and atoms, written as POSCAR:
```
Sc3Al2Ag4
1.0
4.602 0.000 0.000
-2.301 5.029 -0.791
0.000 -3.277 7.941
Sc Ag Al
3 4 2
Cartesian
2.301 -0.556 5.070 Sc
0.000 2.307 2.080 Sc
0.000 0.000 0.000 Sc
2.301 2.380 4.143 Ag
2.301 1.950 0.122 Ag
0.000 -0.628 3.007 Ag
0.000 -0.198 7.028 Ag
2.301 0.235 2.090 Al
0.000 1.517 5.060 Al
```

---

No. 24
Computed, not measured: a geometry-optimized Sc11Al9Ag4 structure at the PBE level of DFT.

Space-group type ... Cmmm, No. 65
Formation energy ... -0.38 eV per atom

Cell and atoms, written as POSCAR:
```
Sc11Al9Ag4
1.0
3.361 0.000 0.000
0.000 11.345 -4.800
0.000 0.044 12.319
Ag Sc Al
4 11 9
Cartesian
1.680 5.076 0.961 Ag
1.680 8.511 3.228 Ag
1.680 2.879 4.290 Ag
1.680 6.313 6.557 Ag
0.000 0.675 4.774 Sc
0.000 7.328 1.285 Sc
0.000 3.089 2.039 Sc
0.000 10.715 2.744 Sc
0.000 1.875 9.545 Sc
0.000 8.301 5.480 Sc
0.000 4.061 6.234 Sc
0.000 0.000 0.000 Sc
0.000 9.514 -2.027 Sc
0.000 4.655 -1.256 Sc
0.000 6.734 8.775 Sc
1.680 7.179 -1.132 Al
1.680 1.780 7.046 Al
1.680 9.000 7.829 Al
1.680 10.736 5.199 Al
1.680 4.211 8.651 Al
1.680 5.695 3.759 Al
1.680 0.654 2.319 Al
1.680 9.609 0.473 Al
1.680 2.390 -0.310 Al
```

---

No. 25
Computed, not measured: a geometry-optimized ScAlAg2 structure at the PBE level of DFT.

Space-group type ... P-1, No. 2
Formation energy ... -0.20 eV per atom

Cell and atoms, written as POSCAR:
```
ScAlAg2
1.0
-1.140 2.621 3.307
4.354 -5.830 0.364
4.018 -0.025 1.403
Al Ag Sc
1 2 1
Cartesian
4.186 -2.927 0.883 Al
1.439 1.298 2.355 Ag
0.000 0.000 0.000 Ag
1.607 -1.604 1.835 Sc
```

---

Values of size of the total moment, in order: 0.0000 0.0000 0.0000 0.0000 0.0000 0.0000 0.3973 0.0000 0.0000 0.0000 0.0001 0.0000 0.0000 0.0696 0.0000 0.0000 0.0000 0.0001 0.0000 0.0000 0.0000 0.0000 0.0001 0.0000 0.0000, all in μB/atom.